Entry from Alexandria via LeMat-Bulk: crystalline DyUCdO6 at its relaxed geometry (GGA-PBE).

The calculation puts the energy relative to the elements, uncorrected at -2.45 eV per atom. Its density of states at the Fermi level is 8.84 states/eV/cell.

The structure belongs to space group P312 (No. 149); the cell edges are 5.8238, 5.8238 and 4.6053 Å and the angles 90.00°, 90.00° and 120.00°. The inequivalent atoms are Dy at (0.0000, 0.0000, 0.0000), U at (0.3333, 0.6667, 0.0000), Cd at (0.6667, 0.3333, 0.5000) and O at (0.0296, 0.3580, 0.2304).